## PaPN (GGA-PBE)

Data for PaPN after structural relaxation.

Unit cell a=3.155 b=3.155 c=10.730 alpha=90.00 beta=90.00 gamma=90.00
Positions (direct):
Pa 0.000 0.000 0.000
Pa 0.500 0.500 0.500
P 0.000 0.000 0.279
P 0.500 0.500 0.779
N 0.000 0.000 0.556
N 0.500 0.500 0.056

## Properties
N(E_F): 5.9 states/eV/cell
Energy above the lowest structure with this stoichiometry: 203 kJ/mol of formula units
Total magnetic moment: 0.00 Bohr magnetons per cell

## Pa3P2N8 (GGA-PBE)

Data for Pa3P2N8 after structural relaxation.

Unit cell a=5.430 b=5.430 c=6.326 alpha=112.68 beta=112.68 gamma=81.64
Positions (direct):
Pa 0.000 0.000 0.000
Pa 0.274 0.726 0.500
Pa 0.726 0.274 0.500
P 0.318 0.318 0.873
P 0.682 0.682 0.127
N 0.077 0.077 0.724
N 0.140 0.545 0.751
N 0.349 0.349 0.162
N 0.455 0.860 0.249
N 0.545 0.140 0.751
N 0.651 0.651 0.838
N 0.860 0.455 0.249
N 0.923 0.923 0.276

## Properties
N(E_F): 4.0 states/eV/cell
DFT total energy: -9.130 eV per atom
Total magnetic moment: 0.00 Bohr magnetons per cell

## PaPN4 (GGA-PBE)

Data for PaPN4 after structural relaxation.

Unit cell a=6.661 b=6.661 c=6.676 alpha=103.54 beta=103.54 gamma=33.12
Positions (direct):
Pa 0.204 0.204 0.244
Pa 0.796 0.796 0.756
P 0.088 0.088 0.646
P 0.912 0.912 0.354
N 0.051 0.051 0.374
N 0.143 0.143 0.907
N 0.233 0.233 0.622
N 0.392 0.392 0.333
N 0.608 0.608 0.667
N 0.767 0.767 0.378
N 0.857 0.857 0.093
N 0.949 0.949 0.626

## Properties
N(E_F): 6.8 states/eV/cell
DFT total energy: -8.109 eV per atom
Total magnetic moment: 0.00 Bohr magnetons per cell

## PaPN (GGA-PBE)

Data for PaPN after structural relaxation.

Unit cell a=11.609 b=4.099 c=4.455 alpha=90.00 beta=90.00 gamma=90.00
Positions (direct):
Pa 0.107 0.250 0.207
Pa 0.393 0.750 0.707
Pa 0.607 0.250 0.293
Pa 0.893 0.750 0.793
P 0.148 0.750 0.680
P 0.352 0.250 0.180
P 0.648 0.750 0.820
P 0.852 0.250 0.320
N 0.071 0.750 0.030
N 0.429 0.250 0.530
N 0.571 0.750 0.470
N 0.929 0.250 0.970

## Properties
N(E_F): 11.5 states/eV/cell
Energy above the lowest structure with this stoichiometry: 56 kJ/mol of formula units
Total magnetic moment: 0.00 Bohr magnetons per cell